(1)
Ho2SiSe | GGA-PBE | relaxed

Geometry as POSCAR:
```
Ho2SiSe
1.0
4.101 -8.154 0.000
4.101 8.154 0.000
-4.046 0.000 5.807
Ho Si Se
8 4 4
Direct
0.058 0.433 0.741
0.172 0.298 0.241
0.298 0.172 0.741
0.433 0.058 0.241
0.567 0.942 0.759
0.702 0.828 0.259
0.828 0.702 0.759
0.942 0.567 0.259
0.065 0.935 0.250
0.190 0.810 0.750
0.810 0.190 0.250
0.935 0.065 0.750
0.315 0.685 0.250
0.440 0.560 0.750
0.560 0.440 0.250
0.685 0.315 0.750
```

space group: C2/c, No. 15
formation energy (no corrections): -1302 meV per atom
volume: 388.3 Å³/cell


(2)
CsPmNbO4 | GGA-PBE | relaxed

Geometry as POSCAR:
```
CsPmNbO4
1.0
6.441 0.000 0.000
0.000 6.278 0.000
-2.511 0.000 7.828
Cs Pm Nb O
2 2 2 8
Direct
0.198 0.250 0.432
0.802 0.750 0.568
0.327 0.250 0.959
0.673 0.750 0.041
0.204 0.750 0.144
0.796 0.250 0.856
0.001 0.250 0.726
0.013 0.250 0.068
0.432 0.531 0.151
0.432 0.969 0.151
0.568 0.031 0.849
0.568 0.469 0.849
0.987 0.750 0.932
0.999 0.750 0.274
```

space group: P2_1/m, No. 11
formation energy (no corrections): -2461 meV per atom
volume: 316.5 Å³/cell


(3)
Tb3Ce2HoTm6 | GGA-PBE | relaxed

Geometry as POSCAR:
```
Tb3Ce2HoTm6
1.0
3.043 -5.268 0.000
3.043 5.268 0.000
-2.026 0.000 11.418
Tb Ce Ho Tm
3 2 1 6
Direct
0.000 0.000 0.000
0.334 0.666 0.000
0.666 0.334 0.000
0.167 0.833 0.500
0.833 0.167 0.500
0.500 0.500 0.500
0.081 0.417 0.252
0.248 0.248 0.749
0.417 0.081 0.252
0.583 0.919 0.748
0.752 0.752 0.251
0.919 0.583 0.748
```

space group: C2/m, No. 12
volume: 366.1 Å³/cell
formation energy from the elements: 0.04 eV per atom


> Which value of volume does entry 3 give?

366.1 Å³/cell


> Among the records above, which one has the lowest volume?

CsPmNbO4


Please write out number 2 again, unchanged.
CsPmNbO4 | GGA-PBE | relaxed

Geometry as POSCAR:
```
CsPmNbO4
1.0
6.441 0.000 0.000
0.000 6.278 0.000
-2.511 0.000 7.828
Cs Pm Nb O
2 2 2 8
Direct
0.198 0.250 0.432
0.802 0.750 0.568
0.327 0.250 0.959
0.673 0.750 0.041
0.204 0.750 0.144
0.796 0.250 0.856
0.001 0.250 0.726
0.013 0.250 0.068
0.432 0.531 0.151
0.432 0.969 0.151
0.568 0.031 0.849
0.568 0.469 0.849
0.987 0.750 0.932
0.999 0.750 0.274
```

space group: P2_1/m, No. 11
formation energy (no corrections): -2461 meV per atom
volume: 316.5 Å³/cell


> Look up the volume of the second one.

316.5 Å³/cell